18
Lattice="4.972 0.000 0.000 0.000 4.972 0.000 0.000 0.000 9.956" Properties=species:S:1:pos:R:3 comment="PBE-GGA PmZrIrO6, optimized geometry" e_form_raw_kj_per_mol_atoms=-214.3 magnetic_moment_mub_per_atom=0.198 pbc="T T T"
Pm 0.000 0.000 0.000
Pm 2.486 2.486 4.978
Zr 0.000 0.000 6.578
Zr 2.486 2.486 1.600
Ir 0.000 0.000 3.245
Ir 2.486 2.486 8.223
O 0.870 0.870 4.818
O 1.011 1.011 1.817
O 1.098 1.098 8.083
O 1.388 3.584 3.106
O 1.474 3.497 6.794
O 1.616 3.355 9.796
O 3.355 1.616 9.796
O 3.497 1.474 6.794
O 3.584 1.388 3.106
O 3.874 3.874 8.083
O 3.960 3.960 1.817
O 4.102 4.102 4.818

***

12
Lattice="6.763 -1.966 0.000 6.763 1.966 0.000 -6.496 0.000 6.978" Properties=species:S:1:pos:R:3 comment="PBE-GGA Pr4IrO7, optimized geometry" e_form_raw_kj_per_mol_atoms=-267.9 magnetic_moment_mub_per_atom=0.010 pbc="T T T"
Pr -1.391 0.000 2.760
Pr 2.348 0.000 1.124
Pr 4.682 0.000 5.853
Pr 8.421 0.000 4.217
Ir 6.763 0.000 0.000
O 0.000 0.000 0.000
O -2.763 0.000 4.795
O 1.109 0.000 3.082
O 4.808 0.000 0.713
O 2.222 0.000 6.264
O 5.921 0.000 3.896
O 9.793 0.000 2.183

***

10
Lattice="7.576 0.000 0.000 0.000 3.840 0.000 -2.349 0.000 8.296" Properties=species:S:1:pos:R:3 comment="PBE-GGA Pr3IrO, optimized geometry" e_form_raw_kj_per_mol_atoms=-122.3 magnetic_moment_mub_per_atom=0.000 pbc="T T T"
Pr -0.110 0.000 2.778
Pr 2.103 0.000 0.190
Pr 1.104 1.920 5.662
Pr 4.123 1.920 2.634
Pr 3.124 0.000 8.106
Pr 5.337 0.000 5.519
Ir 0.000 1.920 0.000
Ir 2.613 0.000 4.148
O -1.175 1.920 4.148
O 3.788 1.920 0.000

***

18
Lattice="5.488 0.000 0.000 0.000 6.261 0.000 -4.850 0.000 7.637" Properties=species:S:1:pos:R:3 comment="PBE-GGA Pr2IrO6, optimized geometry" e_form_raw_kj_per_mol_atoms=-209.1 magnetic_moment_mub_per_atom=0.329 pbc="T T T"
Pr -0.028 0.588 1.925
Pr -2.453 2.542 5.744
Pr 3.092 3.719 1.893
Pr 0.667 5.673 5.711
Ir 2.744 0.000 0.000
Ir 0.319 3.131 3.818
O -3.781 0.952 7.259
O -1.357 2.178 3.440
O -2.903 4.540 7.132
O -0.478 4.852 3.314
O -1.552 0.305 5.800
O 0.873 2.825 1.981
O -0.235 3.436 5.655
O 2.190 5.956 1.837
O 1.116 1.410 4.323
O 3.541 1.721 0.505
O 1.995 4.083 4.196
O 4.420 5.309 0.378

***

24
Lattice="7.721 0.000 0.000 0.000 5.564 0.000 -1.373 0.000 7.476" Properties=species:S:1:pos:R:3 comment="PBE-GGA PrIrO4, optimized geometry" relative_energy_mev_per_atom=0 e_form_raw_kj_per_mol_atoms=-174.5 magnetic_moment_mub_per_atom=0.153 pbc="T T T"
Pr 0.668 1.226 2.993
Pr -0.019 1.556 6.731
Pr 6.367 4.008 0.744
Pr 5.681 4.338 4.482
Ir 2.351 4.056 1.524
Ir 1.665 4.290 5.262
Ir 4.684 1.274 2.214
Ir 3.998 1.508 5.952
O 0.674 2.928 1.304
O -0.012 5.417 5.042
O 0.555 2.789 4.697
O 1.242 5.556 0.959
O 1.299 3.570 7.100
O 1.986 4.776 3.362
O 2.340 0.464 5.984
O 3.027 2.317 2.246
O 3.322 3.246 5.230
O 4.008 5.099 1.492
O 4.363 0.788 4.113
O 5.049 1.994 0.375
O 5.107 0.007 6.516
O 5.793 2.774 2.779
O 6.361 0.147 2.433
O 5.675 2.635 6.171

***

9
Lattice="5.315 0.000 0.000 -2.657 4.603 0.000 0.000 0.000 5.064" Properties=species:S:1:pos:R:3 comment="PBE-GGA PrIr2O6, optimized geometry" e_form_raw_kj_per_mol_atoms=-138.6 magnetic_moment_mub_per_atom=0.326 pbc="T T T"
Pr 0.000 0.000 0.000
Ir 0.000 3.069 2.532
Ir 2.657 1.534 2.532
O -0.971 1.681 3.605
O -1.687 2.922 1.459
O 1.941 0.000 3.605
O 0.971 1.681 1.459
O 3.374 0.000 1.459
O 1.687 2.922 3.605